Crystalline RbCa2MgRh at its relaxed geometry, computed with PBE. Values from VASP.

Summary:
ρ = 2.85 g/cm³
Volume = 170.6 Å³ per cell
DFT formation energy = -118 meV/atom

```
&SYSTEM
  ibrav = 0, nat = 5, ntyp = 4
/
ATOMIC_SPECIES
Rb 85.47 Rb.upf
Mg 24.30 Mg.upf
Rh 102.91 Rh.upf
Ca 40.08 Ca.upf
CELL_PARAMETERS angstrom
-3.871 3.754 1.475
-2.595 -3.883 3.073
3.014 1.409 4.325
ATOMIC_POSITIONS angstrom
Rb -1.726 0.640 4.437
Mg 1.507 0.704 2.163
Rh 0.000 0.000 0.000
Ca -1.297 -1.942 1.536
Ca -1.936 1.877 0.737
```

***

Crystalline LiGe7Ir3 at its relaxed geometry, computed with PBE. Values from VASP.

Summary:
ρ = 9.68 g/cm³
Volume = 374.6 Å³ per cell
DFT formation energy = -257 meV/atom

```
&SYSTEM
  ibrav = 0, nat = 22, ntyp = 3
/
ATOMIC_SPECIES
Ge 72.64 Ge.upf
Ir 192.22 Ir.upf
Li 6.94 Li.upf
CELL_PARAMETERS angstrom
-6.519 -4.476 0.176
-0.297 -6.373 4.676
-4.799 0.267 6.750
ATOMIC_POSITIONS angstrom
Ge -2.688 -5.643 6.724
Ge -7.685 -7.963 6.019
Ge -8.145 -3.414 7.007
Ge -6.335 -3.367 3.207
Ge -8.927 -4.940 4.878
Ge -8.711 -7.937 8.701
Ge -6.796 -4.988 8.863
Ge -5.280 -7.215 8.395
Ge -4.819 -5.594 2.739
Ge -3.470 -7.169 4.594
Ge -6.059 -7.836 3.824
Ge -5.556 -2.746 7.778
Ge -3.931 -2.620 5.583
Ge -2.904 -2.646 2.900
Ir -7.343 -5.693 3.020
Ir -2.998 -4.679 4.393
Ir -5.186 -8.413 6.140
Ir -8.617 -5.903 7.209
Ir -4.272 -4.889 8.581
Ir -6.429 -2.169 5.461
Li -5.808 -5.291 5.801
Li 0.000 0.000 0.000
```

***

Crystalline PdRh3S at its relaxed geometry, computed with PBE. Values from VASP.

Summary:
ρ = 6.86 g/cm³
Volume = 108.2 Å³ per cell
Formation energy (no corrections) = 1745 meV per atom

```
&SYSTEM
  ibrav = 0, nat = 5, ntyp = 3
/
ATOMIC_SPECIES
Rh 102.91 Rh.upf
S 32.06 S.upf
Pd 106.42 Pd.upf
CELL_PARAMETERS angstrom
4.766 0.000 0.000
0.000 4.766 0.000
0.000 0.000 4.766
ATOMIC_POSITIONS angstrom
Rh 0.000 2.383 0.000
Rh 2.383 0.000 0.000
Rh 0.000 0.000 2.383
S 2.383 2.383 2.383
Pd 0.000 0.000 0.000
```

***

Crystalline Pm2Ho at its relaxed geometry, computed with PBE. Values from VASP.

Summary:
ρ = 7.57 g/cm³
Volume = 99.7 Å³ per cell
DFT formation energy = 20 meV/atom

```
&SYSTEM
  ibrav = 0, nat = 3, ntyp = 2
/
ATOMIC_SPECIES
Ho 164.93 Ho.upf
Pm 145.00 Pm.upf
CELL_PARAMETERS angstrom
3.611 0.000 0.000
0.000 3.611 0.000
-1.805 -1.805 7.651
ATOMIC_POSITIONS angstrom
Ho 0.000 0.000 0.000
Pm 0.000 0.000 5.126
Pm 1.805 1.805 2.525
```

***

- Look up the volume of the third one.
  108.2 Å³ per cell

***

- Which value of volume does entry 1 give?
  170.6 Å³ per cell